(1)
DFT (PBE) results for an optimized crystal structure of TaGaCl3.

Properties
Crystal system   cubic
Energy above the lowest structure with this stoichiometry   914.8 meV/atom

a b c (Å): 5.004 5.004 5.004
angles (deg): 90.00 90.00 90.00
Fractional coordinates of all 5 atoms:
Cl  0.000  0.500  0.000
Cl  0.000  0.000  0.500
Cl  0.500  0.000  0.000
Ga  0.000  0.000  0.000
Ta  0.500  0.500  0.500

(2)
DFT (PBE) results for an optimized crystal structure of TaGaCl3.

Properties
Crystal system   cubic
Energy above the lowest structure with this stoichiometry   0.0 meV/atom

a b c (Å): 4.920 4.920 4.920
angles (deg): 90.00 90.00 90.00
Fractional coordinates of all 5 atoms:
Cl  0.000  0.500  0.000
Cl  0.000  0.000  0.500
Cl  0.500  0.000  0.000
Ga  0.500  0.500  0.500
Ta  0.000  0.000  0.000

(3)
DFT (PBE) results for an optimized crystal structure of TaGaCl2.

Properties
Crystal system   cubic
Energy above the lowest structure with this stoichiometry   322.9 meV/atom

a b c (Å): 4.625 4.625 4.625
angles (deg): 60.00 60.00 60.00
Fractional coordinates of all 4 atoms:
Cl  0.250  0.250  0.250
Cl  0.750  0.750  0.750
Ga  0.000  0.000  0.000
Ta  0.500  0.500  0.500

(4)
DFT (PBE) results for an optimized crystal structure of TaGaCl2.

Properties
Crystal system   tetragonal
Energy above the lowest structure with this stoichiometry   0.0 meV/atom

a b c (Å): 4.167 4.167 9.294
angles (deg): 77.04 77.04 90.00
Fractional coordinates of all 8 atoms:
Cl  0.646  0.125  0.250
Cl  0.104  0.625  0.250
Cl  0.375  0.354  0.750
Cl  0.875  0.896  0.750
Ga  0.500  0.500  0.000
Ga  0.250  0.750  0.500
Ta  0.000  0.000  0.000
Ta  0.750  0.250  0.500

(5)
DFT (PBE) results for an optimized crystal structure of TbGaCl6.

Properties
Crystal system   monoclinic

a b c (Å): 7.072 7.072 6.308
angles (deg): 97.43 97.43 126.91
Fractional coordinates of all 8 atoms:
Tb  0.000  0.000  0.000
Ga  0.500  0.500  0.500
Cl  0.258  0.258  0.740
Cl  0.412  0.144  0.276
Cl  0.742  0.742  0.260
Cl  0.856  0.588  0.724
Cl  0.588  0.856  0.724
Cl  0.144  0.412  0.276

(6)
DFT (PBE) results for an optimized crystal structure of TbGa2Cl8.

Properties
Crystal system   monoclinic

a b c (Å): 6.584 8.006 8.006
angles (deg): 64.86 83.17 83.17
Fractional coordinates of all 11 atoms:
Tb  0.000  0.000  0.000
Ga  0.645  0.814  0.814
Ga  0.355  0.186  0.186
Cl  0.224  0.293  0.896
Cl  0.776  0.104  0.707
Cl  0.282  0.835  0.835
Cl  0.718  0.165  0.165
Cl  0.224  0.896  0.293
Cl  0.776  0.707  0.104
Cl  0.758  0.654  0.654
Cl  0.242  0.346  0.346

(7)
DFT (PBE) results for an optimized crystal structure of TbGa3Cl6.

Properties
Crystal system   trigonal

a b c (Å): 8.576 8.576 8.576
angles (deg): 92.81 92.81 92.81
Fractional coordinates of all 20 atoms:
Tb  0.500  0.500  0.500
Tb  0.000  0.000  0.000
Ga  0.417  0.083  0.750
Ga  0.083  0.750  0.417
Ga  0.750  0.417  0.083
Ga  0.917  0.250  0.583
Ga  0.250  0.583  0.917
Ga  0.583  0.917  0.250
Cl  0.943  0.699  0.049
Cl  0.699  0.049  0.943
Cl  0.049  0.943  0.699
Cl  0.443  0.549  0.199
Cl  0.549  0.199  0.443
Cl  0.199  0.443  0.549
Cl  0.057  0.301  0.951
Cl  0.301  0.951  0.057
Cl  0.951  0.057  0.301
Cl  0.557  0.451  0.801
Cl  0.451  0.801  0.557
Cl  0.801  0.557  0.451

(8)
DFT (PBE) results for an optimized crystal structure of Tb4GaTe2Cl.

Properties
Crystal system   monoclinic

a b c (Å): 4.241 7.501 7.247
angles (deg): 70.76 90.00 90.00
Fractional coordinates of all 8 atoms:
Tb  0.000  0.726  0.744
Tb  0.000  0.274  0.256
Tb  0.500  0.723  0.269
Tb  0.500  0.277  0.731
Ga  0.000  0.500  0.500
Te  0.000  0.000  0.000
Te  0.500  0.000  0.500
Cl  0.500  0.500  0.000

(9)
DFT (PBE) results for an optimized crystal structure of GaTc2Cl.

Properties
Crystal system   tetragonal
Energy above the lowest structure with this stoichiometry   354.6 meV/atom

a b c (Å): 5.714 5.714 6.275
angles (deg): 62.91 62.91 90.00
Fractional coordinates of all 8 atoms:
Tc  0.589  0.125  0.250
Tc  0.161  0.625  0.250
Tc  0.375  0.411  0.750
Tc  0.875  0.839  0.750
Ga  0.000  0.000  0.000
Ga  0.750  0.250  0.500
Cl  0.500  0.500  0.000
Cl  0.250  0.750  0.500

(10)
DFT (PBE) results for an optimized crystal structure of Ga2TcCl8.

Properties
Crystal system   monoclinic

a b c (Å): 6.145 8.471 8.471
angles (deg): 51.57 90.17 90.17
Fractional coordinates of all 11 atoms:
Ga  0.425  0.146  0.146
Ga  0.575  0.854  0.854
Tc  0.000  0.000  0.000
Cl  0.754  0.714  0.150
Cl  0.754  0.150  0.714
Cl  0.246  0.286  0.850
Cl  0.645  0.715  0.715
Cl  0.246  0.850  0.286
Cl  0.795  0.135  0.135
Cl  0.205  0.865  0.865
Cl  0.355  0.285  0.285

(11)
DFT (PBE) results for an optimized crystal structure of GaTc2Cl.

Properties
Crystal system   cubic
Energy above the lowest structure with this stoichiometry   0.0 meV/atom

a b c (Å): 4.357 4.357 4.357
angles (deg): 60.00 60.00 60.00
Fractional coordinates of all 4 atoms:
Tc  0.250  0.250  0.250
Tc  0.750  0.750  0.750
Ga  0.500  0.500  0.500
Cl  0.000  0.000  0.000

(12)
DFT (PBE) results for an optimized crystal structure of GaTcCl2.

Properties
Crystal system   trigonal
Energy above the lowest structure with this stoichiometry   105.3 meV/atom

a b c (Å): 9.532 9.532 9.532
angles (deg): 20.17 20.17 20.17
Fractional coordinates of all 4 atoms:
Tc  0.500  0.500  0.500
Ga  0.000  0.000  0.000
Cl  0.887  0.887  0.887
Cl  0.113  0.113  0.113

One value per record, in order, for E: -3.52; -4.43; -4.26; -4.59; -3.93; -3.68; -3.80; -4.87; -5.39; -3.71; -5.75; -4.21 eV per atom.
One value per record, in order, for DOS at the Fermi energy: 1.155; 0.920; 0.513; 0.047; 0.000; 0.455; 0.000; 0.443; 0.699; 0.063; 0.970; 0.602 states/eV/atom.
One value per record, in order, for calculated density: 4.7; 5.0; 7.6; 7.0; 3.0; 2.6; 3.1; 7.6; 6.4; 2.5; 8.6; 4.4 Mg/m³.